Entry 1:
The following is a DFT calculation (PBE-GGA) of La2MnGaPd6 after structural relaxation.

The structure in extended XYZ format:
```
10
Lattice="0.559 -1.509 -6.567 3.333 -5.109 2.552 -1.449 -6.450 0.116" Properties=species:S:1:pos:R:3 pbc="T T T"
La 0.609 -5.489 -4.460
La 1.834 -7.578 0.562
Mn 0.000 0.000 0.000
Ga 1.946 -3.309 -2.007
Pd 0.204 -4.782 -0.913
Pd 2.604 -5.744 -1.961
Pd 1.146 -10.566 0.420
Pd 1.298 -2.502 -4.318
Pd -0.160 -7.324 -1.937
Pd 2.240 -8.286 -2.985
```

energy relative to the elements: -0.59 eV/atom
volume: 20.5 A^3/atom

***

Entry 2:
The following is a DFT calculation (PBE-GGA) of La2MnGaPt6 after structural relaxation.

The structure in extended XYZ format:
```
10
Lattice="-2.273 -2.612 -5.711 5.221 -4.228 0.998 0.305 -6.637 1.415" Properties=species:S:1:pos:R:3 pbc="T T T"
La -0.128 -6.524 -3.031
La 3.382 -6.953 -0.267
Mn 0.000 0.000 0.000
Ga 1.474 -3.420 -2.357
Pt 0.906 -5.053 -0.483
Pt 2.138 -11.176 -3.176
Pt 3.355 -3.853 -0.689
Pt -0.101 -9.624 -2.609
Pt 1.116 -2.302 -0.122
Pt 2.348 -8.424 -2.815
```

energy relative to the elements: -0.80 eV/atom
volume: 20.8 A^3/atom

***

Entry 3:
The following is a DFT calculation (PBE-GGA) of La2MnGa4Pt3 after structural relaxation.

The structure in extended XYZ format:
```
10
Lattice="4.284 0.000 0.000 0.000 4.284 0.000 0.000 0.000 10.796" Properties=species:S:1:pos:R:3 pbc="T T T"
La 2.142 0.000 2.673
La 0.000 2.142 8.122
Mn 2.142 2.142 5.398
Ga 2.142 2.142 0.000
Ga 0.000 0.000 0.000
Ga 2.142 0.000 6.818
Ga 0.000 2.142 3.978
Pt 0.000 0.000 5.398
Pt 2.142 0.000 9.367
Pt 0.000 2.142 1.429
```

energy relative to the elements: -0.84 eV/atom
volume: 19.8 A^3/atom